[1]
Crystalline VSnCBr2 at its relaxed geometry. Source: Alexandria, functional PBE-GGA.

```
5
Lattice="5.457 0.000 0.000 0.000 3.877 0.000 0.000 0.000 5.457" Properties=species:S:1:pos:R:3 pbc="T T T"
Br 0.000 0.000 2.728
Br 2.728 0.000 0.000
C 0.000 0.000 0.000
V 0.000 1.938 0.000
Sn 2.728 1.938 2.728
```

Summary:
Magnetic moment ... 2.23 μB/cell
Raw formation energy ... 0.91 eV/atom
DFT total energy ... -21.12 eV/cell



[2]
Crystalline Ag5HgPd3 at its relaxed geometry. Source: Alexandria, functional PBE-GGA.

```
18
Lattice="5.793 -0.502 -0.301 1.103 5.709 -0.301 1.793 1.354 10.722" Properties=species:S:1:pos:R:3 pbc="T T T"
Ag 1.934 4.241 6.935
Ag 6.755 2.320 3.185
Ag 4.922 3.716 7.206
Ag 4.608 0.699 6.935
Ag 4.258 1.530 -0.301
Ag 2.637 3.677 -0.301
Ag 5.134 3.877 0.895
Ag 3.554 2.684 9.225
Ag 3.766 2.844 2.914
Ag 4.080 5.862 3.185
Pd 1.923 1.452 1.269
Pd 6.765 5.108 8.851
Pd 0.000 0.000 0.000
Pd 3.109 2.348 5.455
Pd 0.896 0.677 5.361
Pd 5.579 4.213 4.665
Hg 6.993 5.280 2.260
Hg 1.696 1.280 7.860
```

Summary:
Formation energy ... 23.0 kJ per mole of atoms
Magnetic moment ... 0.00 μB/cell
DFT total energy ... -55.98 eV/cell



[3]
Crystalline BaAgSe8S2 at its relaxed geometry. Source: Alexandria, functional PBE-GGA.

```
12
Lattice="-4.350 -5.519 -2.063 3.639 -5.982 -4.670 3.153 -8.106 2.040" Properties=species:S:1:pos:R:3 pbc="T T T"
Se 0.002 -13.200 -3.689
Se -1.292 -11.045 -0.555
Se 3.734 -8.561 -4.137
Se 1.448 -11.461 -5.221
Se 0.994 -8.146 0.529
Se 3.479 -11.995 -1.244
Se 2.439 -6.407 -1.003
Se -1.037 -7.612 -3.448
S 2.591 -15.317 -3.483
S -0.149 -4.290 -1.209
Ba 1.221 -9.803 -2.346
Ag 0.000 0.000 0.000
```

Summary:
Magnetic moment ... 0.00 μB/cell
Raw formation energy ... -0.13 eV/atom
DFT total energy ... -42.41 eV/cell



Number 2 is which compound? Ag5HgPd3